No. 1
A relaxed structure of Y2Al2Rh, computed with PBE-GGA.

## Properties
Fermi-level density of states = 5.12 states/eV/f.u.
Electronic total energy = -30.489 eV/f.u.
Space group = P4/mbm
Energy of formation = -0.545 eV per atom

Geometry as POSCAR:
```
Y2Al2Rh
1.0
6.904 0.000 0.000
0.000 6.904 0.000
0.000 0.000 4.488
Y Al Rh
4 4 2
direct
0.171 0.329 0.000 Y
0.329 0.829 0.000 Y
0.671 0.171 0.000 Y
0.829 0.671 0.000 Y
0.136 0.636 0.500 Al
0.364 0.136 0.500 Al
0.636 0.864 0.500 Al
0.864 0.364 0.500 Al
0.000 0.000 0.500 Rh
0.500 0.500 0.500 Rh
```

=====

No. 2
A relaxed structure of Ac4Ag5Ir2, computed with PBE-GGA.

## Properties
Fermi-level density of states = 5.16 states/eV/f.u.
Electronic total energy = -52.357 eV/f.u.
Space group = P2/m
Energy of formation = -0.359 eV per atom

Geometry as POSCAR:
```
Ac4Ag5Ir2
1.0
7.699 0.000 0.000
0.000 4.151 0.000
-0.541 0.000 9.346
Ac Ag Ir
4 5 2
direct
0.196 0.000 0.356 Ac
0.228 0.000 0.928 Ac
0.772 0.000 0.072 Ac
0.804 0.000 0.644 Ac
0.188 0.500 0.645 Ag
0.452 0.500 0.175 Ag
0.500 0.500 0.500 Ag
0.548 0.500 0.825 Ag
0.812 0.500 0.355 Ag
0.067 0.500 0.148 Ir
0.933 0.500 0.852 Ir
```

=====

No. 3
A relaxed structure of RbAsRh2, computed with PBE-GGA.

## Properties
Fermi-level density of states = 5.09 states/eV/f.u.
Electronic total energy = -19.549 eV/f.u.
Space group = I-42d
Energy of formation = 0.193 eV per atom

Geometry as POSCAR:
```
RbAsRh2
1.0
-2.602 2.602 7.937
2.602 -2.602 7.937
2.602 2.602 -7.937
Rb As Rh
2 2 4
direct
0.000 0.000 0.000 Rb
0.750 0.250 0.500 Rb
0.250 0.750 0.500 As
0.500 0.500 0.000 As
0.315 0.625 0.190 Rh
0.375 0.565 0.690 Rh
0.435 0.125 0.810 Rh
0.875 0.685 0.310 Rh
```

=====

No. 4
A relaxed structure of CuAu2Se, computed with PBE-GGA.

## Properties
Fermi-level density of states = 1.90 states/eV/f.u.
Electronic total energy = -13.553 eV/f.u.
Raw formation energy = 0.15 eV/atom
Space group = R3m

Geometry as POSCAR:
```
CuAu2Se
1.0
1.692 0.977 7.390
-1.692 0.977 7.390
0.000 -1.953 7.390
Cu Au Se
1 2 1
direct
0.000 0.000 0.000 Cu
0.504 0.504 0.504 Au
0.746 0.746 0.746 Au
0.265 0.265 0.265 Se
```

=====

No. 5
A relaxed structure of Pr2MgU2Ru5, computed with PBE-GGA.

## Properties
Fermi-level density of states = 7.74 states/eV/f.u.
Electronic total energy = -81.228 eV/f.u.
Space group = P4/mbm
Energy of formation = -0.112 eV per atom

Geometry as POSCAR:
```
Pr2MgU2Ru5
1.0
11.080 0.000 0.000
0.000 11.080 0.000
0.000 0.000 3.281
Pr Mg U Ru
4 2 4 10
direct
0.160 0.340 0.000 Pr
0.340 0.840 0.000 Pr
0.660 0.160 0.000 Pr
0.840 0.660 0.000 Pr
0.000 0.000 0.000 Mg
0.500 0.500 0.000 Mg
0.154 0.654 0.000 U
0.346 0.154 0.000 U
0.654 0.846 0.000 U
0.846 0.346 0.000 U
0.000 0.500 0.500 Ru
0.059 0.796 0.500 Ru
0.204 0.059 0.500 Ru
0.296 0.559 0.500 Ru
0.441 0.296 0.500 Ru
0.500 0.000 0.500 Ru
0.559 0.704 0.500 Ru
0.704 0.441 0.500 Ru
0.796 0.941 0.500 Ru
0.941 0.204 0.500 Ru
```

=====

No. 6
A relaxed structure of Li5Pr2Mg12, computed with PBE-GGA.

## Properties
Fermi-level density of states = 13.34 states/eV/f.u.
Electronic total energy = -39.254 eV/f.u.
Space group = R-3m
Energy of formation = -0.052 eV per atom

Geometry as POSCAR:
```
Li5Pr2Mg12
1.0
5.088 2.938 4.998
-5.088 2.938 4.998
0.000 -5.875 4.998
Li Pr Mg
5 2 12
direct
0.000 0.000 0.500 Li
0.000 0.500 0.000 Li
0.098 0.098 0.098 Li
0.500 0.000 0.000 Li
0.902 0.902 0.902 Li
0.345 0.345 0.345 Pr
0.655 0.655 0.655 Pr
0.000 0.301 0.699 Mg
0.000 0.699 0.301 Mg
0.147 0.656 0.656 Mg
0.301 0.000 0.699 Mg
0.301 0.699 0.000 Mg
0.344 0.344 0.853 Mg
0.344 0.853 0.344 Mg
0.656 0.147 0.656 Mg
0.656 0.656 0.147 Mg
0.699 0.000 0.301 Mg
0.699 0.301 0.000 Mg
0.853 0.344 0.344 Mg
```

=====

No. 7
A relaxed structure of Ti2NbOs2, computed with PBE-GGA.

## Properties
Fermi-level density of states = 6.79 states/eV/f.u.
Electronic total energy = -49.039 eV/f.u.
Space group = P4/mbm
Energy of formation = -0.144 eV per atom

Geometry as POSCAR:
```
Ti2NbOs2
1.0
7.309 0.000 0.000
0.000 7.309 0.000
0.000 0.000 3.057
Ti Nb Os
4 2 4
direct
0.154 0.346 0.000 Ti
0.346 0.846 0.000 Ti
0.654 0.154 0.000 Ti
0.846 0.654 0.000 Ti
0.000 0.000 0.500 Nb
0.500 0.500 0.500 Nb
0.144 0.644 0.500 Os
0.356 0.144 0.500 Os
0.644 0.856 0.500 Os
0.856 0.356 0.500 Os
```

=====

No. 8
A relaxed structure of BF, computed with PBE-GGA.

## Properties
Fermi-level density of states = 0.04 states/eV/f.u.
Electronic total energy = -11.023 eV/f.u.
Distance to the lowest polymorph of the same formula = 0.0871 eV/atom
Raw formation energy = -1.24 eV/atom
Space group = Fddd

Geometry as POSCAR:
```
BF
1.0
0.000 3.077 9.510
1.548 0.000 9.510
1.548 3.077 0.000
B F
4 4
direct
0.063 0.687 0.063 B
0.313 0.937 0.313 B
0.687 0.063 0.687 B
0.937 0.313 0.937 B
0.067 0.067 0.183 F
0.183 0.183 0.067 F
0.817 0.817 0.933 F
0.933 0.933 0.817 F
```

=====

No. 9
A relaxed structure of TaMo2Cl, computed with PBE-GGA.

## Properties
Fermi-level density of states = 3.78 states/eV/f.u.
Electronic total energy = -33.338 eV/f.u.
Distance to the lowest polymorph of the same formula = 0.3299 eV/atom
Raw formation energy = 0.51 eV/atom
Space group = Cm

Geometry as POSCAR:
```
TaMo2Cl
1.0
5.019 -1.526 0.000
5.019 1.526 0.000
-2.308 0.000 4.225
Ta Mo Cl
1 2 1
direct
0.000 0.000 0.000 Ta
0.551 0.551 0.553 Mo
0.782 0.782 0.267 Mo
0.273 0.273 0.870 Cl
```

=====

No. 10
A relaxed structure of Sc3ZnC, computed with PBE-GGA.

## Properties
Fermi-level density of states = 2.33 states/eV/f.u.
Electronic total energy = -30.234 eV/f.u.
Distance to the lowest polymorph of the same formula = 0.2893 eV/atom
Space group = C2/m
Energy of formation = -0.148 eV per atom

Geometry as POSCAR:
```
Sc3ZnC
1.0
5.870 -1.679 0.000
5.870 1.679 0.000
-0.533 0.000 8.532
Sc Zn C
6 2 2
direct
0.043 0.043 0.134 Sc
0.233 0.233 0.849 Sc
0.423 0.423 0.355 Sc
0.577 0.577 0.645 Sc
0.767 0.767 0.151 Sc
0.957 0.957 0.866 Sc
0.176 0.176 0.411 Zn
0.824 0.824 0.589 Zn
0.389 0.389 0.083 C
0.611 0.611 0.917 C
```

=====

No. 11
A relaxed structure of YHf2Ti, computed with PBE-GGA.

## Properties
Fermi-level density of states = 5.82 states/eV/f.u.
Electronic total energy = -33.582 eV/f.u.
Distance to the lowest polymorph of the same formula = 0.0000 eV/atom
Space group = P4/mmm
Energy of formation = 0.171 eV per atom

Geometry as POSCAR:
```
YHf2Ti
1.0
3.584 0.000 0.000
0.000 3.584 0.000
0.000 0.000 7.248
Y Hf Ti
1 2 1
direct
0.000 0.000 0.000 Y
0.500 0.500 0.300 Hf
0.500 0.500 0.700 Hf
0.000 0.000 0.500 Ti
```

=====

No. 12
A relaxed structure of CaPr5Sn3, computed with PBE-GGA.

## Properties
Fermi-level density of states = 9.19 states/eV/f.u.
Electronic total energy = -43.224 eV/f.u.
Space group = P6_3/mcm
Energy of formation = -0.591 eV per atom

Geometry as POSCAR:
```
CaPr5Sn3
1.0
9.708 0.000 0.000
-4.854 8.407 0.000
0.000 0.000 6.829
Ca Pr Sn
2 10 6
direct
0.000 0.000 0.000 Ca
0.000 0.000 0.500 Ca
0.000 0.331 0.250 Pr
0.000 0.669 0.750 Pr
0.331 0.000 0.250 Pr
0.331 0.331 0.750 Pr
0.333 0.667 0.000 Pr
0.333 0.667 0.500 Pr
0.667 0.333 0.000 Pr
0.667 0.333 0.500 Pr
0.669 0.000 0.750 Pr
0.669 0.669 0.250 Pr
0.000 0.337 0.750 Sn
0.000 0.663 0.250 Sn
0.337 0.000 0.750 Sn
0.337 0.337 0.250 Sn
0.663 0.000 0.250 Sn
0.663 0.663 0.750 Sn
```